Material: LaHfTi2Mo
Method: DFT, SCAN
State: single point on PBEsol structure

The calculation puts the total moment at 0.00 μB per atom. The calculation puts the energy of formation at 0.87 eV per atom.

It has space group P4/mmm (No. 123), with a = 4.763 Å, b = 4.763 Å, c = 5.145 Å, α = 90.00°, β = 90.00° and γ = 90.00°. The inequivalent atoms are La at (0.000, 0.000, 0.000), Hf at (0.500, 0.500, 0.000), Ti at (0.000, 0.500, 0.500) and Mo at (0.000, 0.000, 0.500).